# 1
VASP calculation (GGA-PBE) on a relaxed structure of Pm12TlIn4O3.

Cell lengths 10.3271, 10.3271, 10.3271 Å; angles 90.00, 90.00, 90.00 degrees
Closest atoms and distances in Å follow each position.
Space group Im-3m (No. 229)
Unique sites:
Pm 0.0000 0.0000 0.2751  1 O 2.32
Pm 0.0000 0.2500 0.5000  2 O 2.58
Tl 0.0000 0.0000 0.0000  6 Pm 2.84
In 0.2500 0.2500 0.2500  12 Pm 3.65-3.66
O 0.0000 0.0000 0.5000  6 Pm 2.32-2.58

Summary:
E_form (uncorrected), eV/f.u.: -18.88

# 2
VASP calculation (GGA-PBE) on a relaxed structure of Pm2TmInO.

Cell lengths 4.9821, 4.9821, 4.6546 Å; angles 90.00, 90.00, 90.00 degrees
Closest atoms and distances in Å follow each position.
Space group P4/mmm (No. 123)
Unique sites:
Pm 0.0000 0.5000 0.0000  2 O 2.49
Tm 0.0000 0.0000 0.5000  2 O 2.33
In 0.5000 0.5000 0.5000  8 Pm 3.41, 4 Tm 3.52
O 0.0000 0.0000 0.0000  2 Tm 2.33, 4 Pm 2.49

Summary:
E_form (uncorrected), eV/f.u.: -7.06

# 3
VASP calculation (GGA-PBE) on a relaxed structure of PmUInO6.

Cell lengths 5.5969, 5.5969, 10.1282 Å; angles 90.00, 90.00, 120.00 degrees
Closest atoms and distances in Å follow each position.
Space group P-31c (No. 163)
Unique sites:
Pm 0.0000 0.0000 0.0000  6 O 2.39
U 0.3333 0.6667 0.2500  6 O 2.10
In 0.3333 0.6667 0.7500  6 O 2.21
O 0.0142 0.3558 0.1367  1 U 2.10, 1 In 2.21

Summary:
E_form (uncorrected), eV/f.u.: -24.74

# 4
VASP calculation (GGA-PBE) on a relaxed structure of PmUIn2O8.

Cell lengths 7.0977, 7.1041, 7.0057 Å; angles 90.00, 90.00, 90.00 degrees
Closest atoms and distances in Å follow each position.
Space group Cmmm (No. 65)
Unique sites:
Pm 0.0000 0.0000 0.0000  6 O 2.28-2.36
U 0.0000 0.0000 0.5000  6 O 2.07-2.13
In 0.0000 0.5000 0.2555  6 O 2.19-2.22
O 0.0000 0.3003 0.5000  1 U 2.13, 2 In 2.22
O 0.0000 0.3216 0.0000  2 In 2.19, 1 Pm 2.28
O 0.1904 0.0000 0.2766  1 U 2.07, 1 In 2.20

Summary:
E_form (uncorrected), eV/f.u.: -27.70